Entry 1:
# MgPaNi2 (GGA-PBE, relaxed)
# * volume: 16.3 Å³ per atom
# * magnetic moment: 0.000 μB/atom
# * formation energy from the elements: -232.6 meV per atom
# * mass density: 9.470 g cm⁻³
data_MgPaNi2
_chemical_formula_sum 'Mg1 Pa1 Ni2'
_cell_length_a 3.0756
_cell_length_b 3.0756
_cell_length_c 6.9090
_cell_angle_alpha 90.00
_cell_angle_beta 90.00
_cell_angle_gamma 90.00
_space_group_name_H-M_alt 'P 4/m m m'
_space_group_IT_number 123
_space_group_name_Hall '-P 4 2'
loop_
_atom_site_label
_atom_site_type_symbol
_atom_site_fract_x
_atom_site_fract_y
_atom_site_fract_z
_atom_site_occupancy
Mg1 Mg 0.0000 0.0000 0.0000 1
Pa1 Pa 0.0000 0.0000 0.5000 1
Ni1 Ni 0.5000 0.5000 0.2310 1

Entry 2:
# TbCeSm2Se4 (GGA-PBE, relaxed)
# * volume: 25.5 Å³ per atom
# * VASP energy: -0.222 hartree per atom
# * magnetic moment: 0.119 μB/atom
# * mass density: 7.466 g cm⁻³
data_TbCeSm2Se4
_chemical_formula_sum 'Tb1 Ce1 Sm2 Se4'
_cell_length_a 7.2047
_cell_length_b 4.1350
_cell_length_c 7.2358
_cell_angle_alpha 90.00
_cell_angle_beta 109.14
_cell_angle_gamma 90.00
_space_group_name_H-M_alt 'P 1 2/m 1'
_space_group_IT_number 10
_space_group_name_Hall '-P 2y'
loop_
_atom_site_label
_atom_site_type_symbol
_atom_site_fract_x
_atom_site_fract_y
_atom_site_fract_z
_atom_site_occupancy
Tb1 Tb 0.0000 0.0000 0.0000 1
Ce1 Ce 0.0000 0.5000 0.5000 1
Sm1 Sm 0.5000 0.0000 0.5000 1
Sm2 Sm 0.5000 0.5000 0.0000 1
Se1 Se 0.2458 0.5000 0.2446 1
Se2 Se 0.2492 0.0000 0.7540 1

Entry 3:
# LaFe2Br (GGA-PBE, relaxed)
# * volume: 21.8 Å³ per atom
# * VASP energy: -0.207 hartree per atom
# * magnetic moment: 1.288 μB/atom
# * mass density: 6.305 g cm⁻³
data_LaFe2Br
_chemical_formula_sum 'La1 Fe2 Br1'
_cell_length_a 3.9944
_cell_length_b 4.0554
_cell_length_c 5.3734
_cell_angle_alpha 90.00
_cell_angle_beta 90.00
_cell_angle_gamma 90.00
_space_group_name_H-M_alt 'P m m m'
_space_group_IT_number 47
_space_group_name_Hall '-P 2 2'
loop_
_atom_site_label
_atom_site_type_symbol
_atom_site_fract_x
_atom_site_fract_y
_atom_site_fract_z
_atom_site_occupancy
La1 La 0.0000 0.0000 0.0000 1
Fe1 Fe 0.0000 0.0000 0.5000 1
Fe2 Fe 0.5000 0.5000 0.5000 1
Br1 Br 0.5000 0.5000 0.0000 1

Entry 4:
# BeAsIr2 (GGA-PBE, relaxed)
# * volume: 13.7 Å³ per atom
# * magnetic moment: 0.000 μB/atom
# * formation energy from the elements: -87.4 meV per atom
# * mass density: 14.237 g cm⁻³
data_BeAsIr2
_chemical_formula_sum 'Be1 As1 Ir2'
_cell_length_a 4.2339
_cell_length_b 2.9127
_cell_length_c 4.8696
_cell_angle_alpha 90.00
_cell_angle_beta 114.54
_cell_angle_gamma 90.00
_space_group_name_H-M_alt 'P 1 2/m 1'
_space_group_IT_number 10
_space_group_name_Hall '-P 2y'
loop_
_atom_site_label
_atom_site_type_symbol
_atom_site_fract_x
_atom_site_fract_y
_atom_site_fract_z
_atom_site_occupancy
Be1 Be 0.0000 0.0000 0.0000 1
As1 As 0.0000 0.5000 0.5000 1
Ir1 Ir 0.5000 0.0000 0.5000 1
Ir2 Ir 0.5000 0.5000 0.0000 1